Compound: KCuS4
Source: the Alexandria database
Functional: PBE
Structure: optimized geometry

Computed properties:
Total magnetization, μB per formula unit: 0.00
Formation energy from raw total energies, meV/atom: -245

Lattice parameters (Å, degrees): 10.594 10.478 6.259 90.00 115.73 90.00
Space group C2/c (No. 15)
One atom of each set of equivalent atoms:
K: 0.000 0.147 0.250 [4 per cell]
Cu: 0.000 0.349 0.750 [4 per cell]
S: 0.107 0.462 0.325 [8 per cell]
S: 0.112 0.163 0.836 [8 per cell]

***

Compound: K3Cu4S4
Source: the Alexandria database
Functional: PBE
Structure: optimized geometry

Computed properties:
Energy above the lowest structure with this stoichiometry, meV per atom: 0.0
Total magnetization, μB per formula unit: 0.00
Formation energy from raw total energies, meV/atom: -678

Lattice parameters (Å, degrees): 7.929 15.750 3.814 90.00 90.00 90.00
Space group Pbam (No. 55)
One atom of each set of equivalent atoms:
K: 0.000 0.000 0.000 [2 per cell]
K: 0.023 0.234 0.500 [4 per cell]
Cu: 0.073 0.418 0.000 [4 per cell]
Cu: 0.154 0.557 0.500 [4 per cell]
S: 0.198 0.638 0.000 [4 per cell]
S: 0.230 0.414 0.500 [4 per cell]

***

Compound: K5CuS3
Source: the Alexandria database
Functional: PBE
Structure: optimized geometry

Computed properties:
Total magnetization, μB per formula unit: 0.13
Formation energy from raw total energies, meV/atom: -825

Lattice parameters (Å, degrees): 12.479 9.717 11.058 90.00 95.66 90.00
Space group C2/m (No. 12)
One atom of each set of equivalent atoms:
K: 0.000 0.191 0.000 [4 per cell]
K: 0.067 0.000 0.372 [4 per cell]
K: 0.154 0.319 0.702 [8 per cell]
K: 0.223 0.500 0.094 [4 per cell]
Cu: 0.155 0.500 0.426 [4 per cell]
S: 0.000 0.500 0.000 [2 per cell]
S: 0.000 0.500 0.500 [2 per cell]
S: 0.171 0.000 0.145 [4 per cell]
S: 0.186 0.000 0.632 [4 per cell]

***

Compound: K2Cu2S3
Source: the Alexandria database
Functional: PBE
Structure: optimized geometry

Computed properties:
Total magnetization, μB per formula unit: 0.00
Formation energy from raw total energies, meV/atom: -592

Lattice parameters (Å, degrees): 12.616 3.912 7.896 90.00 124.98 90.00
Space group C2/m (No. 12)
One atom of each set of equivalent atoms:
K: 0.065 0.000 0.344 [4 per cell]
Cu: 0.203 0.500 0.081 [4 per cell]
S: 0.000 0.500 0.000 [2 per cell]
S: 0.190 0.500 0.762 [4 per cell]

***

Compound: KCuS6
Source: the Alexandria database
Functional: PBE
Structure: optimized geometry

Computed properties:
Total magnetization, μB per formula unit: 0.00
Formation energy from raw total energies, meV/atom: -242

Lattice parameters (Å, degrees): 5.189 6.636 7.868 93.17 102.41 107.32
Space group P-1 (No. 2)
One atom of each set of equivalent atoms:
K: 0.000 0.000 0.000 [1 per cell]
Cu: 0.500 0.000 0.500 [1 per cell]
S: 0.273 0.580 0.705 [2 per cell]
S: 0.375 0.913 0.735 [2 per cell]
S: 0.437 0.504 0.126 [2 per cell]

***

Compound: KCu4S2
Source: the Alexandria database
Functional: PBE
Structure: optimized geometry

Computed properties:
Total magnetization, μB per formula unit: 0.00
Formation energy from raw total energies, meV/atom: -259

Lattice parameters (Å, degrees): 4.0335 4.0335 26.0703 90.00 90.00 120.00
Space group R-3m (No. 166, hexagonal axes)
One atom of each set of equivalent atoms:
K: 0.0000 0.0000 0.0000 [3 per cell]
Cu: 0.0000 0.0000 0.1666 [6 per cell]
Cu: 0.0000 0.0000 0.4480 [6 per cell]
S: 0.0000 0.0000 0.2522 [6 per cell]

***

Compound: KCu2SbS4
Source: the Alexandria database
Functional: PBE
Structure: optimized geometry

Computed properties:
Total magnetization, μB per formula unit: 0.00
Formation energy from raw total energies, meV/atom: -396

Lattice parameters (Å, degrees): 6.270 7.779 8.611 90.00 90.00 90.00
Space group I222 (No. 23)
One atom of each set of equivalent atoms:
K: 0.000 0.000 0.000 [2 per cell]
Cu: 0.000 0.500 0.158 [4 per cell]
Sb: 0.000 0.000 0.500 [2 per cell]
S: 0.226 0.170 0.335 [8 per cell]

***

Compound: K2Cu2SbS4
Source: the Alexandria database
Functional: PBE
Structure: optimized geometry

Computed properties:
Total magnetization, μB per formula unit: 0.00
Formation energy from raw total energies, meV/atom: -603

Lattice parameters (Å, degrees): 14.732 3.887 7.589 90.00 110.87 90.00
Space group C2/m (No. 12)
One atom of each set of equivalent atoms:
K: 0.134 0.000 0.051 [4 per cell]
Cu: 0.189 0.500 0.490 [4 per cell]
Sb: 0.000 0.000 0.500 [2 per cell]
S: 0.026 0.500 0.270 [4 per cell]
S: 0.200 0.000 0.673 [4 per cell]

***

Compound: KCu2SbS3
Source: the Alexandria database
Functional: PBE
Structure: optimized geometry

Computed properties:
Total magnetization, μB per formula unit: 0.00
Formation energy from raw total energies, meV/atom: -492

Lattice parameters (Å, degrees): 6.445 9.204 10.551 90.64 90.88 91.16
Space group P-1 (No. 2)
One atom of each set of equivalent atoms:
K: 0.198 0.427 0.131 [2 per cell]
K: 0.293 0.567 0.627 [2 per cell]
Cu: 0.007 0.886 0.671 [2 per cell]
Cu: 0.078 0.838 0.046 [2 per cell]
Cu: 0.426 0.154 0.539 [2 per cell]
Cu: 0.483 0.261 0.861 [2 per cell]
Sb: 0.036 0.820 0.351 [2 per cell]
Sb: 0.478 0.955 0.854 [2 per cell]
S: 0.133 0.075 0.134 [2 per cell]
S: 0.136 0.311 0.834 [2 per cell]
S: 0.147 0.285 0.459 [2 per cell]
S: 0.348 0.718 0.946 [2 per cell]
S: 0.356 0.923 0.629 [2 per cell]
S: 0.372 0.688 0.331 [2 per cell]

***

Compound: KCuSbS3
Source: the Alexandria database
Functional: PBE
Structure: optimized geometry

Computed properties:
Total magnetization, μB per formula unit: 0.00
Formation energy from raw total energies, meV/atom: -509

Lattice parameters (Å, degrees): 9.009 3.902 9.086 90.00 107.79 90.00
Space group P2_1/m (No. 11)
One atom of each set of equivalent atoms:
K: 0.194 0.250 0.237 [2 per cell]
Cu: 0.075 0.250 0.584 [2 per cell]
Sb: 0.334 0.750 0.852 [2 per cell]
S: 0.130 0.250 0.855 [2 per cell]
S: 0.193 0.750 0.528 [2 per cell]
S: 0.449 0.750 0.153 [2 per cell]

***

Compound: K2CuSbS4
Source: the Alexandria database
Functional: PBE
Structure: optimized geometry

Computed properties:
Total magnetization, μB per formula unit: 0.04
Formation energy from raw total energies, meV/atom: -590

Lattice parameters (Å, degrees): 7.861 7.861 6.536 90.00 90.00 90.00
Space group I-42m (No. 121)
One atom of each set of equivalent atoms:
K: 0.000 0.500 0.000 [4 per cell]
Cu: 0.000 0.000 0.000 [2 per cell]
Sb: 0.000 0.000 0.500 [2 per cell]
S: 0.159 0.159 0.746 [8 per cell]

***

Compound: KSc2CuS4
Source: the Alexandria database
Functional: PBE
Structure: optimized geometry

Computed properties:
Total magnetization, μB per formula unit: 0.00
Formation energy from raw total energies, meV/atom: -1520

Lattice parameters (Å, degrees): 3.792 13.052 13.271 90.00 90.00 90.00
Space group Cmcm (No. 63)
One atom of each set of equivalent atoms:
K: 0.000 0.113 0.250 [4 per cell]
Sc: 0.000 0.367 0.064 [8 per cell]
Cu: 0.000 0.164 0.750 [4 per cell]
S: 0.000 0.000 0.000 [4 per cell]
S: 0.000 0.259 0.605 [8 per cell]
S: 0.000 0.433 0.250 [4 per cell]

***

Compound: KCu4Se2S
Source: the Alexandria database
Functional: PBE
Structure: optimized geometry

Computed properties:
Total magnetization, μB per formula unit: 0.00
Formation energy from raw total energies, meV/atom: -289

Lattice parameters (Å, degrees): 7.691 8.362 11.450 90.00 90.00 90.00
Space group Fmm2 (No. 42)
One atom of each set of equivalent atoms:
K: 0.000 0.000 0.000 [4 per cell]
Cu: 0.000 0.162 0.632 [8 per cell]
Cu: 0.172 0.000 0.321 [8 per cell]
Se: 0.250 0.250 0.236 [8 per cell]
S: 0.000 0.000 0.480 [4 per cell]

***

Compound: K2Cu2Se2S
Source: the Alexandria database
Functional: PBE
Structure: optimized geometry

Computed properties:
Total magnetization, μB per formula unit: 0.00
Formation energy from raw total energies, meV/atom: -574

Lattice parameters (Å, degrees): 12.637 4.088 7.514 90.00 106.39 90.00
Space group C2/m (No. 12)
One atom of each set of equivalent atoms:
K: 0.104 0.000 0.301 [4 per cell]
Cu: 0.161 0.500 0.928 [4 per cell]
Se: 0.189 0.000 0.770 [4 per cell]
S: 0.000 0.500 0.000 [2 per cell]

***

Compound: K2CuSiS4
Source: the Alexandria database
Functional: PBE
Structure: optimized geometry

Computed properties:
Total magnetization, μB per formula unit: 1.07
Formation energy from raw total energies, meV/atom: -786

Lattice parameters (Å, degrees): 7.728 7.728 6.296 90.00 90.00 90.00
Space group I-42m (No. 121)
One atom of each set of equivalent atoms:
K: 0.000 0.500 0.000 [4 per cell]
Cu: 0.000 0.000 0.000 [2 per cell]
Si: 0.000 0.000 0.500 [2 per cell]
S: 0.148 0.148 0.275 [8 per cell]

***

Compound: KCu2SiS4
Source: the Alexandria database
Functional: PBE
Structure: optimized geometry

Computed properties:
Total magnetization, μB per formula unit: 0.00
Formation energy from raw total energies, meV/atom: -581

Lattice parameters (Å, degrees): 6.230 6.230 8.363 90.00 90.00 90.00
Space group I-42m (No. 121)
One atom of each set of equivalent atoms:
K: 0.000 0.000 0.000 [2 per cell]
Cu: 0.000 0.500 0.250 [4 per cell]
Si: 0.000 0.000 0.500 [2 per cell]
S: 0.195 0.195 0.652 [8 per cell]

***

Compound: KSmCuS2
Source: the Alexandria database
Functional: PBE
Structure: optimized geometry

Computed properties:
Total magnetization, μB per formula unit: 0.00
Formation energy from raw total energies, meV/atom: -1092

Lattice parameters (Å, degrees): 7.441 4.653 8.011 90.00 100.68 90.00
Space group P2/c (No. 13)
One atom of each set of equivalent atoms:
K: 0.000 0.175 0.250 [2 per cell]
Sm: 0.500 0.491 0.750 [2 per cell]
Cu: 0.500 0.000 0.000 [2 per cell]
S: 0.267 0.306 0.963 [4 per cell]

***

Compound: KSm2Cu2S4
Source: the Alexandria database
Functional: PBE
Structure: optimized geometry

Computed properties:
Total magnetization, μB per formula unit: 0.00
Formation energy from raw total energies, meV/atom: -1161

Lattice parameters (Å, degrees): 15.008 3.705 7.376 90.00 115.34 90.00
Space group C2/m (No. 12)
One atom of each set of equivalent atoms:
K: 0.000 0.000 0.000 [2 per cell]
Sm: 0.126 0.000 0.557 [4 per cell]
Cu: 0.190 0.500 0.021 [4 per cell]
S: 0.041 0.500 0.727 [4 per cell]
S: 0.217 0.000 0.248 [4 per cell]

***

Compound: KCuSnS2
Source: the Alexandria database
Functional: PBE
Structure: optimized geometry

Computed properties:
Total magnetization, μB per formula unit: 0.00
Formation energy from raw total energies, meV/atom: -507

Lattice parameters (Å, degrees): 7.658 15.207 4.971 90.00 90.00 90.00
Space group Cmme (No. 67)
One atom of each set of equivalent atoms:
K: 0.000 0.250 0.249 [4 per cell]
Cu: 0.000 0.000 0.000 [4 per cell]
Sn: 0.250 0.000 0.500 [4 per cell]
S: 0.000 0.117 0.754 [8 per cell]

***

Compound: K2CuSnS4
Source: the Alexandria database
Functional: PBE
Structure: optimized geometry

Computed properties:
Total magnetization, μB per formula unit: 1.06
Formation energy from raw total energies, meV/atom: -646

Lattice parameters (Å, degrees): 7.815 7.815 6.632 90.00 90.00 90.00
Space group I-42m (No. 121)
One atom of each set of equivalent atoms:
K: 0.000 0.500 0.000 [4 per cell]
Cu: 0.000 0.000 0.000 [2 per cell]
Sn: 0.000 0.000 0.500 [2 per cell]
S: 0.157 0.157 0.757 [8 per cell]

***

Compound: KCu2SnS4
Source: the Alexandria database
Functional: PBE
Structure: optimized geometry

Computed properties:
Total magnetization, μB per formula unit: 0.00
Formation energy from raw total energies, meV/atom: -438

Lattice parameters (Å, degrees): 6.421 6.421 8.756 90.00 90.00 90.00
Space group I-42m (No. 121)
One atom of each set of equivalent atoms:
K: 0.000 0.000 0.000 [2 per cell]
Cu: 0.000 0.500 0.250 [4 per cell]
Sn: 0.000 0.000 0.500 [2 per cell]
S: 0.210 0.210 0.673 [8 per cell]